CoReH2, optimized geometry, DFT PBE-GGA; distance to the lowest polymorph of the same formula = 0 meV/atom; M_tot = 0.0 μB per formula unit
1.0
2.7757 0.0000 0.0000
1.3878 2.4038 0.0000
1.3878 0.8013 4.6433
H Co Re
2 1 1
Cartesian
4.1635 2.4038 1.8104
1.3878 0.8013 2.8329
2.7757 1.6025 2.3216
0.0000 0.0000 0.0000